{
  "formula": "Li5Pu3Cl12",
  "functional": "PBE-GGA",
  "state": "optimized geometry",
  "lattice": [[-8.075, -6.812, 8.265], [10.712, 4.354, 6.798], [-6.632, 10.489, -5.090]],
  "species": ["Cl", "Cl", "Cl", "Cl", "Cl", "Cl", "Cl", "Cl", "Cl", "Cl", "Cl", "Cl", "Cl", "Cl", "Cl", "Cl", "Cl", "Cl", "Cl", "Cl", "Cl", "Cl", "Cl", "Cl", "Cl", "Cl", "Cl", "Cl", "Cl", "Cl", "Cl", "Cl", "Cl", "Cl", "Cl", "Cl", "Cl", "Cl", "Cl", "Cl", "Cl", "Cl", "Cl", "Cl", "Cl", "Cl", "Cl", "Cl", "Pu", "Pu", "Pu", "Pu", "Pu", "Pu", "Pu", "Pu", "Pu", "Pu", "Pu", "Pu", "Li", "Li", "Li", "Li", "Li", "Li", "Li", "Li", "Li", "Li", "Li", "Li", "Li", "Li", "Li", "Li", "Li", "Li", "Li", "Li"],
  "fractional_positions": [[0.411, 0.124, 0.591], [0.091, 0.180, 0.466], [0.286, 0.876, 0.966], [0.786, 0.320, 0.911], [0.214, 0.534, 0.624], [0.591, 0.624, 0.411], [0.124, 0.411, 0.091], [0.034, 0.409, 0.820], [0.409, 0.376, 0.589], [0.876, 0.286, 0.466], [0.411, 0.286, 0.320], [0.786, 0.466, 0.376], [0.534, 0.214, 0.124], [0.214, 0.680, 0.089], [0.320, 0.786, 0.411], [0.680, 0.214, 0.589], [0.466, 0.786, 0.876], [0.589, 0.714, 0.680], [0.089, 0.909, 0.376], [0.876, 0.589, 0.909], [0.589, 0.876, 0.409], [0.966, 0.376, 0.286], [0.966, 0.591, 0.180], [0.909, 0.089, 0.876], [0.820, 0.911, 0.286], [0.534, 0.320, 0.909], [0.714, 0.589, 0.180], [0.911, 0.820, 0.786], [0.714, 0.124, 0.034], [0.124, 0.714, 0.534], [0.624, 0.591, 0.911], [0.091, 0.911, 0.124], [0.680, 0.466, 0.591], [0.180, 0.089, 0.714], [0.376, 0.966, 0.786], [0.286, 0.411, 0.820], [0.376, 0.409, 0.089], [0.089, 0.180, 0.214], [0.909, 0.820, 0.534], [0.820, 0.909, 0.034], [0.466, 0.680, 0.091], [0.320, 0.534, 0.409], [0.034, 0.624, 0.714], [0.409, 0.034, 0.320], [0.624, 0.034, 0.214], [0.180, 0.091, 0.966], [0.911, 0.091, 0.624], [0.591, 0.966, 0.680], [0.750, 0.875, 0.625], [0.875, 0.750, 0.125], [0.875, 0.125, 0.250], [0.375, 0.750, 0.625], [0.250, 0.125, 0.375], [0.750, 0.375, 0.125], [0.375, 0.625, 0.250], [0.625, 0.375, 0.750], [0.250, 0.625, 0.875], [0.625, 0.250, 0.375], [0.125, 0.875, 0.750], [0.125, 0.250, 0.875], [0.500, 0.000, 0.500], [0.625, 0.750, 0.875], [0.500, 0.000, 0.000], [0.125, 0.750, 0.375], [0.250, 0.375, 0.625], [0.750, 0.625, 0.375], [0.000, 0.500, 0.000], [0.875, 0.625, 0.750], [0.625, 0.875, 0.250], [0.000, 0.000, 0.000], [0.375, 0.125, 0.750], [0.750, 0.125, 0.875], [0.125, 0.375, 0.250], [0.500, 0.500, 0.000], [0.500, 0.500, 0.500], [0.000, 0.500, 0.500], [0.000, 0.000, 0.500], [0.250, 0.875, 0.125], [0.375, 0.250, 0.125], [0.875, 0.250, 0.625]],
  "n_ef_per_ev_cell": 133.313,
  "formation_energy_uncorrected_ev_per_atom": -1.841,
  "rho_g_cm3": 4.263
}